LiAcMg10 after structural relaxation, computed with PBE-GGA.

calculated formation energy = 0.028 eV per atom
spin magnetization = 0.0000 μB/atom

Geometry as CIF:
```
data_LiAcMg10
_chemical_formula_sum 'Li1 Ac1 Mg10'
_symmetry_space_group_name_H-M 'P m m m'
_symmetry_Int_Tables_number 47
_symmetry_space_group_name_Hall '-P 2 2'
_cell_length_a 5.0866
_cell_length_b 5.9303
_cell_length_c 10.6272
_cell_angle_alpha 90.00
_cell_angle_beta 90.00
_cell_angle_gamma 90.00
loop_
_atom_site_label
_atom_site_type_symbol
_atom_site_fract_x
_atom_site_fract_y
_atom_site_fract_z
Li1 Li 0.0000 0.0000 0.0000
Ac1 Ac 0.0000 0.5000 0.5000
Mg1 Mg 0.0000 0.0000 0.3142
Mg2 Mg 0.0000 0.5000 0.1570
Mg3 Mg 0.5000 0.0000 0.5000
Mg4 Mg 0.5000 0.2562 0.2560
Mg5 Mg 0.5000 0.5000 0.0000
```